# Sm3HoPu2S6, relaxed, DFT GGA-PBE
data_Sm3HoPu2S6
_chemical_formula_sum 'Sm6 Ho2 Pu4 S12'
_symmetry_space_group_name_H-M 'C 1 2/m 1'
_symmetry_Int_Tables_number 12
_cell_length_a 6.8618
_cell_length_b 11.8874
_cell_length_c 6.8981
_cell_angle_alpha 90.00
_cell_angle_beta 109.33
_cell_angle_gamma 90.00
loop_
_symmetry_equiv_pos_as_xyz
'x,y,z'
'-x,-y,-z'
'-x,y,-z'
'x,-y,z'
'x+1/2,y+1/2,z'
'-x+1/2,-y+1/2,-z'
'-x+1/2,y+1/2,-z'
'x+1/2,-y+1/2,z'
loop_
_atom_site_label
_atom_site_type_symbol
_atom_site_fract_x
_atom_site_fract_y
_atom_site_fract_z
_atom_site_occupancy
Sm1 Sm 0.0000 0.0000 0.0000 1
Sm2 Sm 0.0000 0.3326 0.0000 1
Ho1 Ho 0.0000 0.5000 0.5000 1
Pu1 Pu 0.0000 0.1665 0.5000 1
S1 S 0.2462 0.3345 0.7422 1
S2 S 0.2504 0.0000 0.7440 1
# - raw formation energy (kJ per mole of atoms) = -188.2
# - electronic total energy (eV per atom) = -7.9640
# - crystal system = monoclinic